Density functional theory data (GGA+U) for a relaxed structure of Rb2WI4F2.

Structure (CIF):
```
data_Rb2WI4F2
_chemical_formula_sum 'Rb2 W1 I4 F2'
_symmetry_space_group_name_H-M 'P 1'
_symmetry_Int_Tables_number 1
_cell_length_a 7.547
_cell_length_b 7.547
_cell_length_c 7.126
_cell_angle_alpha 100.27
_cell_angle_beta 100.27
_cell_angle_gamma 67.26
loop_
_symmetry_equiv_pos_as_xyz
'x,y,z'
loop_
_atom_site_label
_atom_site_type_symbol
_atom_site_fract_x
_atom_site_fract_y
_atom_site_fract_z
Rb1 Rb 0.158 0.158 0.350
Rb2 Rb 0.842 0.842 0.650
W1 W 0.500 0.500 0.500
I1 I 0.162 0.641 0.237
I2 I 0.359 0.838 0.763
I3 I 0.641 0.162 0.237
I4 I 0.838 0.359 0.763
F1 F 0.366 0.366 0.604
F2 F 0.634 0.634 0.396
```

theoretical density	4.09	g/cm³
density of states at the Fermi level	0.00	states/eV per cell
final energy	-0.1324	hartree per atom